Entry 1:
Here is an optimized crystal structure of AcBiI6 from Alexandria. Energies are from PBE.

The density of states at the Fermi level is 0.00 states/eV/atom. As for the formation energy from raw total energies: -0.93 eV per atom.

The structure in CIF format:
```
data_AcBiI6
_space_group_name_H-M_alt 'R -3'
_space_group_IT_number 148
_space_group_name_Hall '-R 3'
_cell_length_a 7.8700
_cell_length_b 7.8700
_cell_length_c 21.4770
_cell_angle_alpha 90.00
_cell_angle_beta 90.00
_cell_angle_gamma 120.00
loop_
_atom_site_label
_atom_site_fract_x
_atom_site_fract_y
_atom_site_fract_z
_atom_site_occupancy
Ac1 0.0000 0.0000 0.0000 1
Bi1 0.0000 0.0000 0.5000 1
I1 0.0016 0.3479 0.9148 1
```


Entry 2:
Here is an optimized crystal structure of Ac4BiIrI2 from Alexandria. Energies are from PBE.

The density of states at the Fermi level is 0.52 states/eV/atom. As for the formation energy from raw total energies: -0.99 eV per atom.

The structure in CIF format:
```
data_Ac4BiIrI2
_space_group_name_H-M_alt 'P 1 2/m 1'
_space_group_IT_number 10
_cell_length_a 8.554
_cell_length_b 4.491
_cell_length_c 8.786
_cell_angle_alpha 90.00
_cell_angle_beta 106.27
_cell_angle_gamma 90.00
loop_
_space_group_symop_operation_xyz
'x,y,z'
'-x,-y,-z'
'-x,y,-z'
'x,-y,z'
loop_
_atom_site_label
_atom_site_fract_x
_atom_site_fract_y
_atom_site_fract_z
_atom_site_occupancy
Ac1 0.196 0.000 0.186 1
Ac2 0.229 0.500 0.799 1
Bi1 0.500 0.000 0.000 1
Ir1 0.000 0.500 0.000 1
I1 0.000 0.000 0.500 1
I2 0.500 0.500 0.500 1
```


Entry 3:
Here is an optimized crystal structure of AcLaBiI from Alexandria. Energies are from PBE.

The density of states at the Fermi level is 0.90 states/eV/atom. As for the formation energy from raw total energies: -0.96 eV per atom.

The structure in CIF format:
```
data_AcLaBiI
_space_group_name_H-M_alt 'F -4 3 m'
_space_group_IT_number 216
_space_group_name_Hall 'F -4 2 3'
_cell_length_a 8.150
_cell_length_b 8.150
_cell_length_c 8.150
_cell_angle_alpha 90.00
_cell_angle_beta 90.00
_cell_angle_gamma 90.00
loop_
_atom_site_label
_atom_site_fract_x
_atom_site_fract_y
_atom_site_fract_z
_atom_site_occupancy
Ac1 0.000 0.000 0.000 1
La1 0.000 0.000 0.500 1
Bi1 0.250 0.250 0.750 1
I1 0.250 0.250 0.250 1
```


Entry 4:
Here is an optimized crystal structure of Ac4NiBiI2 from Alexandria. Energies are from PBE.

The density of states at the Fermi level is 0.68 states/eV/atom. As for the formation energy from raw total energies: -0.80 eV per atom.

The structure in CIF format:
```
data_Ac4NiBiI2
_space_group_name_H-M_alt 'P 1 2/m 1'
_space_group_IT_number 10
_cell_length_a 8.514
_cell_length_b 4.453
_cell_length_c 8.613
_cell_angle_alpha 90.00
_cell_angle_beta 106.15
_cell_angle_gamma 90.00
loop_
_space_group_symop_operation_xyz
'x,y,z'
'-x,-y,-z'
'-x,y,-z'
'x,-y,z'
loop_
_atom_site_label
_atom_site_fract_x
_atom_site_fract_y
_atom_site_fract_z
_atom_site_occupancy
Ac1 0.197 0.000 0.188 1
Ac2 0.234 0.500 0.790 1
Ni1 0.000 0.500 0.000 1
Bi1 0.500 0.000 0.000 1
I1 0.000 0.000 0.500 1
I2 0.500 0.500 0.500 1
```


Entry 5:
Here is an optimized crystal structure of Ac2BiIO8 from Alexandria. Energies are from PBE.

The density of states at the Fermi level is 0.00 states/eV/atom. As for the formation energy from raw total energies: -1.77 eV per atom.

The structure in CIF format:
```
data_Ac2BiIO8
_space_group_name_H-M_alt 'C 1 2/m 1'
_space_group_IT_number 12
_cell_length_a 7.450
_cell_length_b 7.674
_cell_length_c 7.331
_cell_angle_alpha 90.00
_cell_angle_beta 90.03
_cell_angle_gamma 90.00
loop_
_space_group_symop_operation_xyz
'x,y,z'
'-x,-y,-z'
'-x,y,-z'
'x,-y,z'
'x+1/2,y+1/2,z'
'-x+1/2,-y+1/2,-z'
'-x+1/2,y+1/2,-z'
'x+1/2,-y+1/2,z'
loop_
_atom_site_label
_atom_site_fract_x
_atom_site_fract_y
_atom_site_fract_z
_atom_site_occupancy
Ac1 0.001 0.000 0.256 1
Bi1 0.000 0.500 0.000 1
I1 0.000 0.500 0.500 1
O1 0.001 0.330 0.695 1
O2 0.197 0.000 0.999 1
O3 0.246 0.000 0.502 1
```


Entry 6:
Here is an optimized crystal structure of AcBiIO from Alexandria. Energies are from PBE.

The density of states at the Fermi level is 0.15 states/eV/atom. As for the formation energy from raw total energies: -1.94 eV per atom.

The structure in CIF format:
```
data_AcBiIO
_space_group_name_H-M_alt 'P 4/n m m'
_space_group_IT_number 129
_cell_length_a 4.351
_cell_length_b 4.351
_cell_length_c 15.550
_cell_angle_alpha 90.00
_cell_angle_beta 90.00
_cell_angle_gamma 90.00
loop_
_space_group_symop_operation_xyz
'x,y,z'
'-x,-y,-z'
'-y+1/2,x,z'
'y+1/2,-x,-z'
'-x+1/2,-y+1/2,z'
'x+1/2,y+1/2,-z'
'y,-x+1/2,z'
'-y,x+1/2,-z'
'x+1/2,-y,-z'
'-x+1/2,y,z'
'-y,-x,-z'
'y,x,z'
'-x,y+1/2,-z'
'x,-y+1/2,z'
'y+1/2,x+1/2,-z'
'-y+1/2,-x+1/2,z'
loop_
_atom_site_label
_atom_site_fract_x
_atom_site_fract_y
_atom_site_fract_z
_atom_site_occupancy
Ac1 0.250 0.250 0.079 1
Bi1 0.250 0.750 0.500 1
I1 0.250 0.250 0.798 1
O1 0.250 0.750 0.000 1
```


Entry 7:
Here is an optimized crystal structure of AcBiIO6 from Alexandria. Energies are from PBE.

The density of states at the Fermi level is 0.37 states/eV/atom. As for the formation energy from raw total energies: -1.31 eV per atom.

The structure in CIF format:
```
data_AcBiIO6
_space_group_name_H-M_alt 'P -3 1 c'
_space_group_IT_number 163
_space_group_name_Hall '-P 3 2c'
_cell_length_a 6.0106
_cell_length_b 6.0106
_cell_length_c 9.2720
_cell_angle_alpha 90.00
_cell_angle_beta 90.00
_cell_angle_gamma 120.00
loop_
_atom_site_label
_atom_site_fract_x
_atom_site_fract_y
_atom_site_fract_z
_atom_site_occupancy
Ac1 0.3333 0.6667 0.2500 1
Bi1 0.0000 0.0000 0.0000 1
I1 0.3333 0.6667 0.7500 1
O1 0.0624 0.3766 0.6285 1
```


Entry 8:
Here is an optimized crystal structure of AcBi2IO8 from Alexandria. Energies are from PBE.

As for the formation energy from raw total energies: -1.32 eV per atom.

The structure in CIF format:
```
data_AcBi2IO8
_space_group_name_H-M_alt 'C 1 2/m 1'
_space_group_IT_number 12
_cell_length_a 7.608
_cell_length_b 7.392
_cell_length_c 7.141
_cell_angle_alpha 90.00
_cell_angle_beta 91.52
_cell_angle_gamma 90.00
loop_
_space_group_symop_operation_xyz
'x,y,z'
'-x,-y,-z'
'-x,y,-z'
'x,-y,z'
'x+1/2,y+1/2,z'
'-x+1/2,-y+1/2,-z'
'-x+1/2,y+1/2,-z'
'x+1/2,-y+1/2,z'
loop_
_atom_site_label
_atom_site_fract_x
_atom_site_fract_y
_atom_site_fract_z
_atom_site_occupancy
Ac1 0.000 0.000 0.000 1
Bi1 0.009 0.500 0.254 1
I1 0.000 0.000 0.500 1
O1 0.008 0.179 0.301 1
O2 0.177 0.500 0.008 1
O3 0.248 0.000 0.516 1
```


Entry 9:
Here is an optimized crystal structure of Ac4Bi2PI from Alexandria. Energies are from PBE.

The density of states at the Fermi level is 0.39 states/eV/atom. As for the formation energy from raw total energies: -1.09 eV per atom.

The structure in CIF format:
```
data_Ac4Bi2PI
_space_group_name_H-M_alt 'P 1 2/m 1'
_space_group_IT_number 10
_cell_length_a 8.086
_cell_length_b 4.737
_cell_length_c 8.315
_cell_angle_alpha 90.00
_cell_angle_beta 109.52
_cell_angle_gamma 90.00
loop_
_space_group_symop_operation_xyz
'x,y,z'
'-x,-y,-z'
'-x,y,-z'
'x,-y,z'
loop_
_atom_site_label
_atom_site_fract_x
_atom_site_fract_y
_atom_site_fract_z
_atom_site_occupancy
Ac1 0.232 0.000 0.224 1
Ac2 0.243 0.500 0.772 1
Bi1 0.500 0.000 0.000 1
Bi2 0.500 0.500 0.500 1
P1 0.000 0.500 0.000 1
I1 0.000 0.000 0.500 1
```


Entry 10:
Here is an optimized crystal structure of AcPrBiI from Alexandria. Energies are from PBE.

The density of states at the Fermi level is 0.87 states/eV/atom. As for the formation energy from raw total energies: -0.91 eV per atom.

The structure in CIF format:
```
data_AcPrBiI
_space_group_name_H-M_alt 'F -4 3 m'
_space_group_IT_number 216
_space_group_name_Hall 'F -4 2 3'
_cell_length_a 8.121
_cell_length_b 8.121
_cell_length_c 8.121
_cell_angle_alpha 90.00
_cell_angle_beta 90.00
_cell_angle_gamma 90.00
loop_
_atom_site_label
_atom_site_fract_x
_atom_site_fract_y
_atom_site_fract_z
_atom_site_occupancy
Ac1 0.000 0.000 0.000 1
Pr1 0.000 0.000 0.500 1
Bi1 0.250 0.250 0.250 1
I1 0.250 0.250 0.750 1
```


Entry 11:
Here is an optimized crystal structure of Ac4BiRhI2 from Alexandria. Energies are from PBE.

The density of states at the Fermi level is 0.54 states/eV/atom. As for the formation energy from raw total energies: -0.95 eV per atom.

The structure in CIF format:
```
data_Ac4BiRhI2
_space_group_name_H-M_alt 'P 1 2/m 1'
_space_group_IT_number 10
_cell_length_a 8.547
_cell_length_b 4.474
_cell_length_c 8.753
_cell_angle_alpha 90.00
_cell_angle_beta 105.98
_cell_angle_gamma 90.00
loop_
_space_group_symop_operation_xyz
'x,y,z'
'-x,-y,-z'
'-x,y,-z'
'x,-y,z'
loop_
_atom_site_label
_atom_site_fract_x
_atom_site_fract_y
_atom_site_fract_z
_atom_site_occupancy
Ac1 0.198 0.000 0.187 1
Ac2 0.230 0.500 0.797 1
Bi1 0.500 0.000 0.000 1
Rh1 0.000 0.500 0.000 1
I1 0.000 0.000 0.500 1
I2 0.500 0.500 0.500 1
```


Entry 12:
Here is an optimized crystal structure of Ac6Bi3Sb2I from Alexandria. Energies are from PBE.

The density of states at the Fermi level is 0.38 states/eV/atom. As for the formation energy from raw total energies: -1.09 eV per atom.

The structure in CIF format:
```
data_Ac6Bi3Sb2I
_space_group_name_H-M_alt 'C 1 2/m 1'
_space_group_IT_number 12
_cell_length_a 21.062
_cell_length_b 4.844
_cell_length_c 9.662
_cell_angle_alpha 90.00
_cell_angle_beta 102.93
_cell_angle_gamma 90.00
loop_
_space_group_symop_operation_xyz
'x,y,z'
'-x,-y,-z'
'-x,y,-z'
'x,-y,z'
'x+1/2,y+1/2,z'
'-x+1/2,-y+1/2,-z'
'-x+1/2,y+1/2,-z'
'x+1/2,-y+1/2,z'
loop_
_atom_site_label
_atom_site_fract_x
_atom_site_fract_y
_atom_site_fract_z
_atom_site_occupancy
Ac1 0.003 0.000 0.266 1
Ac2 0.169 0.500 0.580 1
Ac3 0.174 0.500 0.092 1
Bi1 0.000 0.500 0.500 1
Bi2 0.162 0.000 0.834 1
Sb1 0.166 0.000 0.331 1
I1 0.000 0.500 0.000 1
```


| no. | magnetization (Bohr magnetons per cell) | uncorrected energy (eV per atom) |
| --- | --- | --- |
| 1 | 0.0 | -3.094 |
| 2 | 0.0 | -5.020 |
| 3 | 0.1 | -4.575 |
| 4 | 0.0 | -4.449 |
| 5 | 0.0 | -6.215 |
| 6 | 0.0 | -5.567 |
| 7 | 0.0 | -5.680 |
| 8 | 0.0 | -5.745 |
| 9 | 0.0 | -4.988 |
| 10 | 0.0 | -4.485 |
| 11 | 0.0 | -4.799 |
| 12 | 0.0 | -4.931 |